YCo2Hg: optimized geometry, PBE-GGA.

POSCAR file:
```
YCo2Hg
1.0
-2.6514 -5.1504 2.1871
0.6567 -4.5150 4.1861
-2.5770 -2.4819 5.0536
Co Y Hg
2 1 1
Direct
0.9567 0.9567 0.9567
0.2881 0.2881 0.2881
0.7290 0.7290 0.7290
0.5262 0.5262 0.5262
```

Calculated values
- formation enthalpy at 0 K (kcal/mol of atoms) = -1.23
- VASP energy (eV/atom) = -5.30
- density of states at the Fermi level (states/eV/cell) = 4.17
- space-group type = R3m (160)

YCo2Hg: optimized geometry, PBE-GGA.

POSCAR file:
```
YCo2Hg
1.0
-2.4631 2.4172 -3.1949
-1.3374 -1.3530 -4.3009
-4.9040 -1.3392 -0.4265
Co Y Hg
2 1 1
Direct
0.9712 0.9712 0.1628
0.5288 0.5288 0.3372
0.7500 0.7500 0.7500
0.2500 0.2500 0.2500
```

Calculated values
- formation enthalpy at 0 K (kcal/mol of atoms) = 1.72
- VASP energy (eV/atom) = -5.17
- density of states at the Fermi level (states/eV/cell) = 3.86
- space-group type = C2/m (12)

Y2CoHg: optimized geometry, PBE-GGA.

POSCAR file:
```
Y2CoHg
1.0
3.4509 0.0000 0.0000
0.0000 3.4777 -0.0036
0.0000 3.4864 7.4751
Y Co Hg
2 1 1
Direct
0.0000 0.5306 0.4689
0.0000 0.9694 0.0311
0.5000 0.2500 0.2500
0.5000 0.7500 0.7500
```

Calculated values
- formation enthalpy at 0 K (kcal/mol of atoms) = -7.45
- VASP energy (eV/atom) = -5.41
- density of states at the Fermi level (states/eV/cell) = 2.65
- space-group type = Pmmm (47)

Y7Co2Hg2: optimized geometry, PBE-GGA.

POSCAR file:
```
Y7Co2Hg2
1.0
6.6475 -0.0027 -0.9189
0.0029 7.0373 0.0033
-1.3313 -0.0022 6.5773
Hg Y Co
2 7 2
Direct
0.8155 0.5000 0.8155
0.1845 0.5000 0.1845
0.9998 0.2446 0.5003
0.5003 0.7554 0.9998
0.0002 0.7554 0.4997
0.0000 0.0000 0.0000
0.4998 0.2356 0.5002
0.4997 0.2446 0.0002
0.5002 0.7644 0.4998
0.2925 0.0000 0.7075
0.7075 0.0000 0.2925
```

Calculated values
- formation enthalpy at 0 K (kcal/mol of atoms) = -4.19
- VASP energy (eV/atom) = -5.64
- density of states at the Fermi level (states/eV/cell) = 10.87
- space-group type = Cmmm (65)

YCo2Hg: optimized geometry, PBE-GGA.

POSCAR file:
```
YCo2Hg
1.0
-4.9374 -1.0384 1.3061
-1.5484 -4.5617 -1.9888
3.7841 1.8400 3.0753
Co Hg Y
2 1 1
Direct
0.9517 0.9517 0.0000
0.7903 0.2903 0.5000
0.5193 0.5193 0.0000
0.2387 0.7387 0.5000
```

Calculated values
- formation enthalpy at 0 K (kcal/mol of atoms) = 1.89
- VASP energy (eV/atom) = -5.16
- density of states at the Fermi level (states/eV/cell) = 3.49
- space-group type = Imm2 (44)

YCo2Hg: optimized geometry, PBE-GGA.

POSCAR file:
```
YCo2Hg
1.0
-1.2621 -4.3010 -1.3354
2.5708 -3.6933 1.2749
-1.6634 -3.0324 3.1484
Y Co Hg
1 2 1
Direct
0.7500 0.7500 0.7500
0.0000 0.0000 0.0000
0.2500 0.2500 0.2500
0.5000 0.5000 0.5000
```

Calculated values
- formation enthalpy at 0 K (kcal/mol of atoms) = 5.53
- VASP energy (eV/atom) = -5.00
- density of states at the Fermi level (states/eV/cell) = 5.80
- space-group type = F-43m (216)